VASP calculation (PBE) on an optimized crystal structure of Ta4SbSN2.

Lattice parameters (Å, degrees): 3.323 3.323 12.200 90.00 90.00 120.00
Sites, in units of the cell vectors:
Sb 0.333 0.667 0.500
N 0.667 0.333 0.238
Ta 0.333 0.667 0.857
Ta 0.000 0.000 0.682
N 0.667 0.333 0.762
Ta 0.333 0.667 0.143
Ta 0.000 0.000 0.318
S 0.000 0.000 0.000

Calculated values
Electronic total energy, eV/atom: -9.530

VASP calculation (PBE) on an optimized crystal structure of HoHfBe.

Lattice parameters (Å, degrees): 4.690 4.690 4.690 60.00 60.00 60.00
Sites, in units of the cell vectors:
Hf 0.500 0.500 0.500
Ho 0.250 0.250 0.250
Be 0.000 0.000 0.000

Calculated values
ΔE to the lowest computed polymorph, meV/atom: 167

VASP calculation (PBE) on an optimized crystal structure of DyY2Lu4Ni2Se2.

Lattice parameters (Å, degrees): 8.974 8.974 8.974 155.63 67.36 118.30
Sites, in units of the cell vectors:
Dy 0.483 0.483 0.000
Ni 0.651 0.410 0.241
Se 0.138 0.138 0.000
Lu 0.417 0.100 0.317
Lu 0.767 0.894 0.873
Lu 0.020 0.894 0.127
Y 0.380 0.738 0.642
Lu 0.782 0.100 0.683
Se 0.743 0.243 0.500
Ni 0.169 0.410 0.759
Y 0.096 0.738 0.358

Calculated values
Electronic total energy, eV/atom: -5.712

VASP calculation (PBE) on an optimized crystal structure of Li2Ac2Zn15.

Lattice parameters (Å, degrees): 6.961 6.961 6.961 83.56 83.56 83.56
Sites, in units of the cell vectors:
Li 0.903 0.903 0.903
Zn 0.654 0.157 0.654
Ac 0.341 0.341 0.341
Zn 0.000 0.286 0.714
Zn 0.346 0.843 0.346
Zn 0.346 0.346 0.843
Zn 0.714 0.000 0.286
Ac 0.659 0.659 0.659
Li 0.097 0.097 0.097
Zn 0.000 0.500 0.000
Zn 0.286 0.714 0.000
Zn 0.000 0.000 0.500
Zn 0.157 0.654 0.654
Zn 0.843 0.346 0.346
Zn 0.714 0.286 0.000
Zn 0.286 0.000 0.714
Zn 0.500 0.000 0.000
Zn 0.654 0.654 0.157
Zn 0.000 0.714 0.286

Calculated values
Electronic total energy, eV/atom: -1.883